1.
A relaxed structure of AgRh2F11. Source: Alexandria via LeMat-Bulk, functional PBE-GGA.

Geometry as CIF:
```
data_AgRh2F11
_chemical_formula_sum 'Ag2 Rh4 F22'
_cell_length_a 9.021
_cell_length_b 8.263
_cell_length_c 8.263
_cell_angle_alpha 67.15
_cell_angle_beta 56.92
_cell_angle_gamma 56.92
_symmetry_space_group_name_H-M 'P 1'
_symmetry_Int_Tables_number 1
_symmetry_space_group_name_Hall 'P 1'
loop_
_atom_site_label
_atom_site_fract_x
_atom_site_fract_y
_atom_site_fract_z
F1 0.313 0.369 0.891
F2 0.427 0.891 0.369
F3 0.187 0.609 0.131
F4 0.813 0.391 0.869
F5 0.896 0.421 0.320
F6 0.638 0.680 0.579
F7 0.362 0.320 0.421
F8 0.194 0.202 0.798
F9 0.306 0.702 0.298
F10 0.138 0.079 0.180
F11 0.862 0.921 0.820
F12 0.500 0.500 0.500
F13 0.604 0.180 0.079
F14 0.687 0.631 0.109
F15 0.396 0.820 0.921
F16 0.927 0.869 0.391
F17 0.806 0.798 0.202
F18 0.104 0.579 0.680
F19 0.073 0.131 0.609
F20 0.573 0.109 0.631
F21 0.000 0.000 0.000
F22 0.694 0.298 0.702
Rh1 0.340 0.345 0.655
Rh2 0.660 0.655 0.345
Rh3 0.840 0.155 0.845
Rh4 0.160 0.845 0.155
Ag1 0.250 0.250 0.250
Ag2 0.750 0.750 0.750
```

Values from the calculation:
Mass density: 4.0 g/cm3
Calculated total energy: -4.044 eV/atom

***

2.
A relaxed structure of Ag7RhF12. Source: Alexandria via LeMat-Bulk, functional PBE-GGA.

Geometry as CIF:
```
data_Ag7RhF12
_chemical_formula_sum 'Ag7 Rh1 F12'
_cell_length_a 6.615
_cell_length_b 7.822
_cell_length_c 7.822
_cell_angle_alpha 67.62
_cell_angle_beta 73.63
_cell_angle_gamma 106.37
_symmetry_space_group_name_H-M 'P 1'
_symmetry_Int_Tables_number 1
_symmetry_space_group_name_Hall 'P 1'
loop_
_atom_site_label
_atom_site_fract_x
_atom_site_fract_y
_atom_site_fract_z
F1 0.300 0.463 0.354
F2 0.836 0.183 0.463
F3 0.061 0.758 0.124
F4 0.185 0.124 0.118
F5 0.654 0.354 0.183
F6 0.939 0.242 0.876
F7 0.164 0.817 0.537
F8 0.697 0.882 0.242
F9 0.346 0.646 0.817
F10 0.815 0.876 0.882
F11 0.700 0.537 0.646
F12 0.303 0.118 0.758
Ag1 0.321 0.569 0.572
Ag2 0.679 0.431 0.428
Ag3 0.108 0.428 0.141
Ag4 0.500 0.000 0.000
Ag5 0.892 0.572 0.859
Ag6 0.752 0.859 0.569
Ag7 0.248 0.141 0.431
Rh1 0.000 0.000 0.000
```

Values from the calculation:
Mass density: 5.6 g/cm3
Calculated total energy: -3.611 eV/atom

***

3.
A relaxed structure of Ag2RhF. Source: Alexandria via LeMat-Bulk, functional PBE-GGA.

Geometry as CIF:
```
data_Ag2RhF
_chemical_formula_sum 'Ag4 Rh2 F2'
_cell_length_a 7.062
_cell_length_b 7.062
_cell_length_c 5.654
_cell_angle_alpha 51.36
_cell_angle_beta 51.36
_cell_angle_gamma 90.00
_symmetry_space_group_name_H-M 'P 1'
_symmetry_Int_Tables_number 1
_symmetry_space_group_name_Hall 'P 1'
loop_
_atom_site_label
_atom_site_fract_x
_atom_site_fract_y
_atom_site_fract_z
Rh1 0.000 0.000 0.000
Rh2 0.750 0.250 0.500
F1 0.500 0.500 0.000
F2 0.250 0.750 0.500
Ag1 0.166 0.625 0.250
Ag2 0.584 0.125 0.250
Ag3 0.375 0.416 0.750
Ag4 0.875 0.834 0.750
```

Values from the calculation:
Mass density: 8.5 g/cm3
Offset from the most stable computed form: 0 meV/atom
Calculated total energy: -3.615 eV/atom

***

4.
A relaxed structure of AgRh2F6. Source: Alexandria via LeMat-Bulk, functional PBE-GGA.

Geometry as CIF:
```
data_AgRh2F6
_chemical_formula_sum 'Ag1 Rh2 F6'
_cell_length_a 5.036
_cell_length_b 5.599
_cell_length_c 5.599
_cell_angle_alpha 120.00
_cell_angle_beta 90.00
_cell_angle_gamma 90.00
_symmetry_space_group_name_H-M 'P 1'
_symmetry_Int_Tables_number 1
_symmetry_space_group_name_Hall 'P 1'
loop_
_atom_site_label
_atom_site_fract_x
_atom_site_fract_y
_atom_site_fract_z
Rh1 0.500 0.333 0.667
Rh2 0.500 0.667 0.333
Ag1 0.000 0.000 0.000
F1 0.291 0.000 0.644
F2 0.291 0.356 0.356
F3 0.709 0.644 0.644
F4 0.291 0.644 0.000
F5 0.709 0.356 0.000
F6 0.709 0.000 0.356
```

Values from the calculation:
Mass density: 5.2 g/cm3
Calculated total energy: -4.435 eV/atom

***

5.
A relaxed structure of Ag2RhF2. Source: Alexandria via LeMat-Bulk, functional PBE-GGA.

Geometry as CIF:
```
data_Ag2RhF2
_chemical_formula_sum 'Ag2 Rh1 F2'
_cell_length_a 5.044
_cell_length_b 5.044
_cell_length_c 4.801
_cell_angle_alpha 58.31
_cell_angle_beta 58.31
_cell_angle_gamma 90.00
_symmetry_space_group_name_H-M 'P 1'
_symmetry_Int_Tables_number 1
_symmetry_space_group_name_Hall 'P 1'
loop_
_atom_site_label
_atom_site_fract_x
_atom_site_fract_y
_atom_site_fract_z
Ag1 0.250 0.750 0.500
Ag2 0.750 0.250 0.500
F1 0.690 0.690 0.620
F2 0.310 0.310 0.380
Rh1 0.000 0.000 0.000
```

Values from the calculation:
Mass density: 7.2 g/cm3
Offset from the most stable computed form: 0 meV/atom
Calculated total energy: -3.690 eV/atom

***

6.
A relaxed structure of Ag2RhF2. Source: Alexandria via LeMat-Bulk, functional PBE-GGA.

Geometry as CIF:
```
data_Ag2RhF2
_chemical_formula_sum 'Ag4 Rh2 F4'
_cell_length_a 7.052
_cell_length_b 7.052
_cell_length_c 2.924
_cell_angle_alpha 90.00
_cell_angle_beta 90.00
_cell_angle_gamma 90.00
_symmetry_space_group_name_H-M 'P 1'
_symmetry_Int_Tables_number 1
_symmetry_space_group_name_Hall 'P 1'
loop_
_atom_site_label
_atom_site_fract_x
_atom_site_fract_y
_atom_site_fract_z
Ag1 0.846 0.346 0.500
Ag2 0.154 0.654 0.500
Ag3 0.346 0.154 0.500
Ag4 0.654 0.846 0.500
F1 0.855 0.645 0.000
F2 0.645 0.145 0.000
F3 0.355 0.855 0.000
F4 0.145 0.355 0.000
Rh1 0.500 0.500 0.000
Rh2 0.000 0.000 0.000
```

Values from the calculation:
Mass density: 8.1 g/cm3
Offset from the most stable computed form: 15 meV/atom
Calculated total energy: -3.675 eV/atom

***

What is the mass density in the fifth record? 7.2 g/cm3

***

Among the records above, which one has the lowest calculated total energy? AgRh2F6